Compound: TbFeB4
Source: Alexandria via LeMat-Bulk
Functional: GGA-PBE
Structure: optimized geometry

The magnetic moment is 0.0 μB per cell. The calculation puts the density at 7.50 Mg/m³. The total energy is -7.2321 eV per atom. For the energy above the most stable polymorph in this dataset, the calculation gives 0.00 kcal/mol of atoms.

The structure belongs to space group Pbam (No. 55); the cell edges are 5.9049, 11.4225 and 3.3900 Å and the angles 90.00°, 90.00° and 90.00°. The distinct sites, in fractional coordinates, are Tb at (0.1263, 0.1503, 0.0000), Fe at (0.1325, 0.4118, 0.0000), B at (0.0246, 0.6899, 0.5000), B at (0.1111, 0.5457, 0.5000), B at (0.1397, 0.9681, 0.5000) and B at (0.2189, 0.8166, 0.5000).


Compound: TbFeTcB2
Source: Alexandria via LeMat-Bulk
Functional: GGA-PBE
Structure: optimized geometry

The magnetic moment is 3.3 μB per cell. The calculation puts the density at 8.11 Mg/m³. The total energy is -7.6954 eV per atom.

The structure belongs to space group I-4m2 (No. 119); the cell edges are 3.7322, 3.7322 and 9.8359 Å and the angles 90.00°, 90.00° and 90.00°. The distinct sites, in fractional coordinates, are Tb at (0.0000, 0.0000, 0.0000), Fe at (0.0000, 0.5000, 0.2500), Tc at (0.0000, 0.5000, 0.7500) and B at (0.0000, 0.0000, 0.3511).


Compound: Fe3TcB
Source: Alexandria via LeMat-Bulk
Functional: GGA-PBE
Structure: optimized geometry

The magnetic moment is 2.9 μB per cell. The calculation puts the density at 8.49 Mg/m³. The total energy is -8.2682 eV per atom. For the energy above the most stable polymorph in this dataset, the calculation gives 0.00 kcal/mol of atoms.

The structure belongs to space group Pm-3m (No. 221); the cell edges are 3.7807, 3.7807 and 3.7807 Å and the angles 90.00°, 90.00° and 90.00°. The distinct sites, in fractional coordinates, are Fe at (0.0000, 0.0000, 0.5000), Tc at (0.5000, 0.5000, 0.5000) and B at (0.0000, 0.0000, 0.0000).


Computed values of energy relative to the elements (unit: eV/atom) for the preceding records, in sequence: -0.60; -0.33; 0.22.